Entry 1:
{
  "formula": "Sc2CoP",
  "functional": "PBE-GGA",
  "state": "relaxed",
  "cell": [[0.000, 3.107, 3.107], [3.107, 0.000, 3.107], [3.107, 3.107, 0.000]],
  "species": ["Sc", "Sc", "Co", "P"],
  "frac_coords": [[0.000, 0.000, 0.000], [0.750, 0.750, 0.750], [0.500, 0.500, 0.500], [0.250, 0.250, 0.250]],
  "total_energy_ev_per_atom": -6.478,
  "space_group": "F-43m"
}

Entry 2:
{
  "formula": "Sc3CoP",
  "functional": "PBE-GGA",
  "state": "relaxed",
  "cell": [[-1.734, -4.352, -0.398], [-0.326, -0.298, 4.681], [-4.358, 1.754, -0.192]],
  "species": ["Sc", "Sc", "Sc", "P", "Co"],
  "frac_coords": [[0.000, 0.500, 0.000], [0.000, 0.000, 0.500], [0.500, 0.000, 0.000], [0.500, 0.500, 0.500], [0.000, 0.000, 0.000]],
  "total_energy_ev_per_atom": -6.475,
  "e_above_lowest_polymorph_mev_per_atom": 0,
  "space_group": "Pm-3m"
}

Entry 3:
{
  "formula": "ScCoP4",
  "functional": "PBE-GGA",
  "state": "relaxed",
  "cell": [[0.000, 3.531, 3.531], [3.531, 0.000, 3.531], [3.531, 3.531, 0.000]],
  "species": ["Sc", "Co", "P", "P", "P", "P"],
  "frac_coords": [[0.750, 0.750, 0.750], [0.000, 0.000, 0.000], [0.882, 0.373, 0.373], [0.373, 0.373, 0.882], [0.373, 0.882, 0.373], [0.373, 0.373, 0.373]],
  "total_energy_ev_per_atom": -5.591,
  "space_group": "F-43m"
}

Entry 4:
{
  "formula": "ScCoP",
  "functional": "PBE-GGA",
  "state": "relaxed",
  "cell": [[-1.742, 1.743, 3.737], [1.742, -1.743, 3.737], [1.742, 1.743, -3.737]],
  "species": ["Sc", "Co", "P"],
  "frac_coords": [[0.335, 0.335, 0.000], [0.986, 0.986, 0.000], [0.679, 0.679, 0.000]],
  "total_energy_ev_per_atom": -6.706,
  "space_group": "I4mm"
}

Entry 5:
{
  "formula": "ScCo2P",
  "functional": "PBE-GGA",
  "state": "relaxed",
  "cell": [[-2.393, 1.083, -2.289], [0.286, -3.132, -1.780], [-3.506, -1.902, 2.766]],
  "species": ["Sc", "Co", "Co", "P"],
  "frac_coords": [[0.500, 0.000, 0.500], [0.000, 0.500, 0.742], [0.000, 0.500, 0.258], [0.500, 0.500, 0.000]],
  "total_energy_ev_per_atom": -6.912,
  "space_group": "P2/m"
}

Entry 6:
{
  "formula": "ScCo2P",
  "functional": "PBE-GGA",
  "state": "relaxed",
  "cell": [[2.352, -2.397, 3.516], [-1.945, 0.072, 4.456], [-1.063, -1.125, -4.610]],
  "species": ["Sc", "Co", "Co", "P"],
  "frac_coords": [[0.739, 0.239, 0.500], [0.005, 0.005, 0.000], [0.282, 0.782, 0.500], [0.473, 0.473, 0.000]],
  "total_energy_ev_per_atom": -6.895,
  "space_group": "Imm2"
}

Entry 7:
{
  "formula": "ScCo4P2",
  "functional": "PBE-GGA",
  "state": "relaxed",
  "cell": [[-2.559, 0.253, -2.360], [-4.023, -4.034, 3.929], [-2.442, 5.601, 3.249]],
  "species": ["Sc", "Sc", "Co", "Co", "Co", "Co", "Co", "Co", "Co", "Co", "P", "P", "P", "P"],
  "frac_coords": [[0.500, 0.000, 0.000], [0.000, 0.500, 0.500], [0.000, 0.078, 0.334], [0.000, 0.922, 0.666], [0.500, 0.166, 0.578], [0.500, 0.834, 0.422], [0.500, 0.422, 0.834], [0.500, 0.578, 0.166], [0.000, 0.334, 0.078], [0.000, 0.666, 0.922], [0.000, 0.226, 0.774], [0.000, 0.774, 0.226], [0.500, 0.726, 0.726], [0.500, 0.274, 0.274]],
  "total_energy_ev_per_atom": -7.276,
  "space_group": "P4_2/mnm"
}

Entry 8:
{
  "formula": "ScCoP2",
  "functional": "PBE-GGA",
  "state": "relaxed",
  "cell": [[-4.709, -1.443, -1.046], [-2.075, -3.778, 2.602], [2.506, 4.268, 0.922]],
  "species": ["Co", "P", "P", "Sc"],
  "frac_coords": [[0.750, 0.250, 0.500], [0.000, 0.000, 0.000], [0.250, 0.750, 0.500], [0.500, 0.500, 0.000]],
  "total_energy_ev_per_atom": -6.494,
  "e_above_lowest_polymorph_mev_per_atom": 410,
  "space_group": "I-4m2"
}

Number 1: ΔE_f -0.1835 eV/atom. Number 2: ΔE_f -0.1729 eV/atom. Number 3: ΔE_f 0.2556 eV/atom. Number 4: ΔE_f -0.4232 eV/atom. Number 5: ΔE_f -0.4236 eV/atom. Number 6: ΔE_f -0.4070 eV/atom. Number 7: ΔE_f -0.7655 eV/atom. Number 8: ΔE_f -0.4297 eV/atom.